Record 1
Here is crystalline CrSb3Mo at its relaxed geometry from Alexandria via LeMat-Bulk. Energies are from GGA-PBE.

Calculated values
The value obtained for the uncorrected formation energy is 4.99 eV/f.u. Its density of states at the Fermi level is 3.7 states/eV per cell. The calculation puts the spin magnetization at 5.6 Bohr magnetons per cell.

```
CrSb3Mo
1.0
5.0398 0.0000 0.0000
0.0000 5.0398 0.0000
0.0000 0.0000 5.0398
Cr Sb Mo
1 3 1
Direct
0.0000 0.0000 0.0000
0.0000 0.0000 0.5000
0.0000 0.5000 0.0000
0.5000 0.0000 0.0000
0.5000 0.5000 0.5000
```

---

Record 2
Here is crystalline La8GePb5 at its relaxed geometry from Alexandria via LeMat-Bulk. Energies are from GGA-PBE.

Calculated values
As for the formation energy: -657 meV per atom. Its density of states at the Fermi level is 2.3 states/eV per cell. The calculation puts the spin magnetization at 0.0 Bohr magnetons per cell.

```
La8GePb5
1.0
-4.9152 4.9152 4.9250
4.9152 -4.9152 4.9250
4.9152 4.9152 -4.9250
La Ge Pb
8 1 5
Direct
0.1301 0.3770 0.1082
0.1391 0.3791 0.6245
0.2688 0.0219 0.8918
0.4855 0.8609 0.2401
0.6209 0.2454 0.7599
0.6230 0.7312 0.7531
0.7546 0.5145 0.3755
0.9781 0.8699 0.2469
0.5000 0.5000 0.0000
0.9999 0.6268 0.8721
0.2500 0.7500 0.5000
0.3732 0.2454 0.3732
0.7546 0.1278 0.1279
0.8722 0.0001 0.6268
```

---

Record 3
Here is crystalline K3SmEr3Te8 at its relaxed geometry from Alexandria via LeMat-Bulk. Energies are from GGA-PBE.

Calculated values
The value obtained for the uncorrected formation energy is -19.69 eV/f.u. Its density of states at the Fermi level is 7.0 states/eV per cell. The calculation puts the spin magnetization at 0.0 Bohr magnetons per cell.

```
K3SmEr3Te8
1.0
4.3885 2.5337 8.4718
-4.3885 2.5337 8.4718
0.0000 -5.0673 8.4718
K Sm Er Te
3 1 3 8
Direct
0.0000 0.5000 0.5000
0.5000 0.0000 0.5000
0.5000 0.5000 0.0000
0.5000 0.5000 0.5000
0.0000 0.0000 0.5000
0.0000 0.5000 0.0000
0.5000 0.0000 0.0000
0.2272 0.7412 0.7412
0.2357 0.2357 0.2357
0.2588 0.2588 0.7728
0.2588 0.7728 0.2588
0.7412 0.2272 0.7412
0.7412 0.7412 0.2272
0.7643 0.7643 0.7643
0.7728 0.2588 0.2588
```